No. 1
The following is a PBEsol calculation of K2NaAsH after structural relaxation, from Alexandria.

Geometry as POSCAR:
```
K2NaAsH
1.0
4.9989 0.0000 0.0000
0.0000 6.3448 0.0000
0.0000 0.0000 6.3448
K Na H As
2 1 1 1
Direct
0.0000 0.5000 0.0000 K
0.0000 0.0000 0.5000 K
0.0000 0.0000 0.0000 Na
0.5000 0.5000 0.5000 H
0.5000 0.0000 0.0000 As
```

Summary:
The size of the total moment comes out at 1.02 μB/f.u. Its symmetry is P4/mmm (123). The value obtained for the total energy is -10.01 eV for the cell shown.

***

No. 2
The following is a PBEsol calculation of KScAs2H2O8 after structural relaxation, from Alexandria.

Geometry as POSCAR:
```
KScAs2H2O8
1.0
6.7859 0.0462 0.0423
-1.5266 6.6121 0.0423
-1.9777 -2.5038 8.5831
As O H Sc K
4 16 4 2 2
Direct
0.3153 0.1293 0.1380 As
0.1293 0.3153 0.6380 As
0.8707 0.6847 0.3620 As
0.6847 0.8707 0.8620 As
0.3616 0.3464 0.0636 O
0.6384 0.6536 0.9364 O
0.9115 0.1834 0.4896 O
0.1818 0.1822 0.2732 O
0.1822 0.1818 0.7732 O
0.1834 0.9115 0.9896 O
0.8182 0.8178 0.7268 O
0.9044 0.4583 0.2649 O
0.3464 0.3616 0.5636 O
0.8178 0.8182 0.2268 O
0.5417 0.0956 0.2351 O
0.0885 0.8166 0.5104 O
0.4583 0.9044 0.7649 O
0.6536 0.6384 0.4364 O
0.8166 0.0885 0.0104 O
0.0956 0.5417 0.7351 O
0.7076 0.6905 0.5562 H
0.2924 0.3095 0.4438 H
0.6905 0.7076 0.0562 H
0.3095 0.2924 0.9438 H
0.1449 0.8551 0.7500 Sc
0.8551 0.1449 0.2500 Sc
0.5000 0.0000 0.5000 K
0.0000 0.5000 0.0000 K
```

Summary:
The size of the total moment comes out at 0.00 μB/f.u. Its symmetry is C2/c (15). The value obtained for the total energy is -182.47 eV for the cell shown.